First-principles (PBE) data for a geometry-optimized SrCu2Hg structure, as listed in Alexandria. Values from VASP.

ΔE to the lowest computed polymorph in eV per formula unit: 0.067
DFT formation energy in eV per atom: -0.12

Structure (Quantum ESPRESSO input):
```
&SYSTEM
  ibrav = 0, nat = 12, ntyp = 3
/
ATOMIC_SPECIES
Sr 87.62 Sr.upf
Cu 63.55 Cu.upf
Hg 200.59 Hg.upf
ATOMIC_POSITIONS crystal
Sr 0.0000 0.0000 0.0000
Sr 0.3333 0.6667 0.6667
Sr 0.6667 0.3333 0.3333
Cu 0.0000 0.0000 0.1944
Cu 0.0000 0.0000 0.8056
Cu 0.3333 0.6667 0.4722
Cu 0.3333 0.6667 0.8611
Cu 0.6667 0.3333 0.1389
Cu 0.6667 0.3333 0.5278
Hg 0.0000 0.0000 0.5000
Hg 0.3333 0.6667 0.1667
Hg 0.6667 0.3333 0.8333
CELL_PARAMETERS angstrom
4.5475 0.0000 0.0000
-2.2737 3.9383 0.0000
0.0000 0.0000 15.5851
```

---

First-principles (PBE) data for a geometry-optimized HfTc2HRh structure, as listed in Alexandria. Values from VASP.

Total DFT energy (no corrections) in eV/atom: -8.5095

Structure (Quantum ESPRESSO input):
```
&SYSTEM
  ibrav = 0, nat = 5, ntyp = 4
/
ATOMIC_SPECIES
Hf 178.49 Hf.upf
Tc 98.00 Tc.upf
H 1.01 H.upf
Rh 102.91 Rh.upf
ATOMIC_POSITIONS crystal
Hf 0.0000 0.0000 0.0000
Tc 0.0000 0.5000 0.5000
Tc 0.5000 0.0000 0.5000
H 0.0000 0.0000 0.5000
Rh 0.5000 0.5000 0.0000
CELL_PARAMETERS angstrom
3.8973 0.0000 0.0000
0.0000 3.8973 0.0000
0.0000 0.0000 4.3201
```

---

First-principles (PBE) data for a geometry-optimized KLaTeI2 structure, as listed in Alexandria. Values from VASP.

Formation energy without anion corrections in meV/atom: -436
ΔE to the lowest computed polymorph in eV per formula unit: 4.525

Structure (Quantum ESPRESSO input):
```
&SYSTEM
  ibrav = 0, nat = 5, ntyp = 4
/
ATOMIC_SPECIES
K 39.10 K.upf
La 138.91 La.upf
Te 127.60 Te.upf
I 126.90 I.upf
ATOMIC_POSITIONS crystal
K 0.0000 0.0000 0.0000
La 0.5000 0.5000 0.5000
Te 0.0000 0.0000 0.5000
I 0.0000 0.5000 0.0000
I 0.5000 0.0000 0.0000
CELL_PARAMETERS angstrom
5.9132 0.0000 0.0000
0.0000 5.9132 0.0000
0.0000 0.0000 6.2829
```

---

First-principles (PBE) data for a geometry-optimized La2BeCl structure, as listed in Alexandria. Values from VASP.

Formation energy without anion corrections in meV/atom: -245
ΔE to the lowest computed polymorph in eV per formula unit: 1.767

Structure (Quantum ESPRESSO input):
```
&SYSTEM
  ibrav = 0, nat = 16, ntyp = 3
/
ATOMIC_SPECIES
La 138.91 La.upf
Be 9.01 Be.upf
Cl 35.45 Cl.upf
ATOMIC_POSITIONS crystal
La 0.2376 0.2500 0.1250
La 0.2500 0.7376 0.3750
La 0.2500 0.7624 0.8750
La 0.2624 0.2500 0.6250
La 0.7376 0.7500 0.6250
La 0.7500 0.2376 0.8750
La 0.7500 0.2624 0.3750
La 0.7624 0.7500 0.1250
Be 0.0000 0.0000 0.0000
Be 0.0000 0.5000 0.2500
Be 0.5000 0.0000 0.7500
Be 0.5000 0.5000 0.5000
Cl 0.0000 0.0000 0.5000
Cl 0.0000 0.5000 0.7500
Cl 0.5000 0.0000 0.2500
Cl 0.5000 0.5000 0.0000
CELL_PARAMETERS angstrom
6.1718 0.0000 0.0000
0.0000 6.1718 0.0000
0.0000 0.0000 14.3061
```

---

First-principles (PBE) data for a geometry-optimized Al2Zn2Fe structure, as listed in Alexandria. Values from VASP.

ΔE to the lowest computed polymorph in eV per formula unit: 0.000
DFT formation energy in eV per atom: 0.26

Structure (Quantum ESPRESSO input):
```
&SYSTEM
  ibrav = 0, nat = 10, ntyp = 3
/
ATOMIC_SPECIES
Al 26.98 Al.upf
Zn 65.41 Zn.upf
Fe 55.84 Fe.upf
ATOMIC_POSITIONS crystal
Al 0.1547 0.3453 0.0000
Al 0.3453 0.8453 0.0000
Al 0.6547 0.1547 0.0000
Al 0.8453 0.6547 0.0000
Zn 0.1503 0.6503 0.5000
Zn 0.3497 0.1503 0.5000
Zn 0.6503 0.8497 0.5000
Zn 0.8497 0.3497 0.5000
Fe 0.0000 0.0000 0.0000
Fe 0.5000 0.5000 0.0000
CELL_PARAMETERS angstrom
6.4149 0.0000 0.0000
0.0000 6.4149 0.0000
0.0000 0.0000 3.6391
```

---

First-principles (PBE) data for a geometry-optimized FeAgPdRh structure, as listed in Alexandria. Values from VASP.

DFT formation energy in eV per atom: 0.12

Structure (Quantum ESPRESSO input):
```
&SYSTEM
  ibrav = 0, nat = 16, ntyp = 4
/
ATOMIC_SPECIES
Fe 55.84 Fe.upf
Ag 107.87 Ag.upf
Pd 106.42 Pd.upf
Rh 102.91 Rh.upf
ATOMIC_POSITIONS crystal
Fe 0.0000 0.0000 0.0000
Fe 0.0000 0.5000 0.5000
Fe 0.5000 0.0000 0.5000
Fe 0.5000 0.5000 0.0000
Ag 0.0000 0.0000 0.5000
Ag 0.0000 0.5000 0.0000
Ag 0.5000 0.0000 0.0000
Ag 0.5000 0.5000 0.5000
Pd 0.2500 0.2500 0.2500
Pd 0.2500 0.7500 0.7500
Pd 0.7500 0.2500 0.7500
Pd 0.7500 0.7500 0.2500
Rh 0.2500 0.2500 0.7500
Rh 0.2500 0.7500 0.2500
Rh 0.7500 0.2500 0.2500
Rh 0.7500 0.7500 0.7500
CELL_PARAMETERS angstrom
6.2306 0.0000 0.0000
0.0000 6.2306 0.0000
0.0000 0.0000 6.2306
```